(1)
First-principles (PBE-GGA) data for crystalline Nb2NiPt8 at its relaxed geometry, as listed in the Alexandria database.

The structure belongs to space group Immm (No. 71); the cell edges are 3.949, 7.923 and 11.523 Å and the angles 90.00°, 90.00° and 90.00°. Symmetry generates all atoms from Nb at (0.000, 0.000, 0.161), Ni at (0.000, 0.000, 0.500), Pt at (0.000, 0.247, 0.000), Pt at (0.000, 0.254, 0.340) and Pt at (0.000, 0.500, 0.174).

Its spin magnetization is 0.04 μB per cell. The density of states at the Fermi level comes out at 17.6 states/eV per cell.


(2)
First-principles (PBE-GGA) data for crystalline NbNi2Pt6 at its relaxed geometry, as listed in the Alexandria database.

The structure belongs to space group C2/m (No. 12); the cell edges are 9.412, 4.443 and 7.963 Å and the angles 90.00°, 125.69° and 90.00°. Symmetry generates all atoms from Nb at (0.000, 0.000, 0.000), Ni at (0.100, 0.500, 0.277), Pt at (0.076, 0.000, 0.403), Pt at (0.173, 0.500, 0.669) and Pt at (0.224, 0.500, 0.070).

Its spin magnetization is 0.00 μB per cell. As for the offset from the most stable computed form: 103 meV per atom. The density of states at the Fermi level comes out at 19.6 states/eV per cell.


(3)
First-principles (PBE-GGA) data for crystalline Nb2Ni7Pt at its relaxed geometry, as listed in the Alexandria database.

The structure belongs to space group Cmmm (No. 65); the cell edges are 6.169, 14.148 and 3.490 Å and the angles 90.00°, 90.00° and 90.00°. Symmetry generates all atoms from Nb at (0.000, 0.203, 0.000), Ni at (0.000, 0.000, 0.000), Ni at (0.000, 0.320, 0.500), Ni at (0.197, 0.400, 0.000) and Pt at (0.000, 0.500, 0.500).

Its spin magnetization is 0.73 μB per cell. The density of states at the Fermi level comes out at 23.9 states/eV per cell.


(4)
First-principles (PBE-GGA) data for crystalline Nb3NiPt at its relaxed geometry, as listed in the Alexandria database.

The structure belongs to space group Pm-3m (No. 221); the cell edges are 4.560, 4.560 and 4.560 Å and the angles 90.00°, 90.00° and 90.00°. Symmetry generates all atoms from Nb at (0.000, 0.000, 0.500), Ni at (0.000, 0.000, 0.000) and Pt at (0.500, 0.500, 0.500).

Its spin magnetization is 0.00 μB per cell. As for the offset from the most stable computed form: 0 meV per atom. The density of states at the Fermi level comes out at 3.9 states/eV per cell.


(5)
First-principles (PBE-GGA) data for crystalline NbNi2Pt5 at its relaxed geometry, as listed in the Alexandria database.

The structure belongs to space group I4/mcm (No. 140); the cell edges are 6.646, 6.646 and 10.974 Å and the angles 90.00°, 90.00° and 90.00°. Symmetry generates all atoms from Nb at (0.000, 0.000, 0.250), Ni at (0.139, 0.361, 0.000), Pt at (0.000, 0.000, 0.000) and Pt at (0.152, 0.348, 0.342).

Its spin magnetization is 0.00 μB per cell. As for the offset from the most stable computed form: 152 meV per atom. The density of states at the Fermi level comes out at 36.6 states/eV per cell.


(6)
First-principles (PBE-GGA) data for crystalline NbNi5Pt4 at its relaxed geometry, as listed in the Alexandria database.

The structure belongs to space group C2/m (No. 12); the cell edges are 13.086, 3.653 and 7.837 Å and the angles 90.00°, 124.43° and 90.00°. Symmetry generates all atoms from Nb at (0.000, 0.000, 0.000), Ni at (0.000, 0.000, 0.500), Ni at (0.166, 0.500, 0.659), Ni at (0.171, 0.500, 0.178), Pt at (0.028, 0.500, 0.776) and Pt at (0.161, 0.000, 0.415).

Its spin magnetization is 3.08 μB per cell. The density of states at the Fermi level comes out at 27.9 states/eV per cell.


(7)
First-principles (PBE-GGA) data for crystalline NbNiPt3 at its relaxed geometry, as listed in the Alexandria database.

The structure belongs to space group Pnma (No. 62); the cell edges are 5.534, 3.910 and 13.995 Å and the angles 90.00°, 90.00° and 90.00°. Symmetry generates all atoms from Nb at (0.130, 0.250, 0.144), Ni at (0.128, 0.250, 0.556), Pt at (0.118, 0.250, 0.354), Pt at (0.126, 0.250, 0.747) and Pt at (0.129, 0.250, 0.951).

Its spin magnetization is 0.00 μB per cell. As for the offset from the most stable computed form: 0 meV per atom. The density of states at the Fermi level comes out at 14.2 states/eV per cell.


(8)
First-principles (PBE-GGA) data for crystalline NbNi12Pt6 at its relaxed geometry, as listed in the Alexandria database.

The structure belongs to space group R-3 (No. 148, hexagonal axes); the cell edges are 9.1037, 9.1037 and 10.7191 Å and the angles 90.00°, 90.00° and 120.00°. Symmetry generates all atoms from Nb at (0.0000, 0.0000, 0.0000), Ni at (0.0315, 0.1804, 0.1970), Ni at (0.0570, 0.2025, 0.4223) and Pt at (0.0040, 0.4303, 0.3300).

Its spin magnetization is 24.39 μB per cell. The density of states at the Fermi level comes out at 84.9 states/eV per cell.


| no. | E_form (eV/atom) |
| --- | --- |
| 1 | -0.410 |
| 2 | -0.235 |
| 3 | 0.404 |
| 4 | 0.666 |
| 5 | -0.195 |
| 6 | 0.064 |
| 7 | -0.513 |
| 8 | 0.025 |